# 1
Computed, not measured: a geometry-optimized Sm10Bi3Te3 structure at the PBE-GGA level of DFT.

Properties
- Magnetic moment: 0.000 μB/atom
- E_form (uncorrected): -14.39 eV/f.u.

Cell lengths 9.3160, 9.3160, 6.3920 Å; angles 90.00, 90.00, 120.00 degrees
Space group P-62m (No. 189)
Unique sites:
Sm 0.0000 0.2518 0.0000 [3 per cell]
Sm 0.0000 0.7485 0.5000 [3 per cell]
Sm 0.3333 0.6667 0.2508 [4 per cell]
Bi 0.0000 0.6124 0.0000 [3 per cell]
Te 0.0000 0.3847 0.5000 [3 per cell]

=====

# 2
Computed, not measured: a geometry-optimized P2PdS6 structure at the PBE-GGA level of DFT.

Properties
- Magnetic moment: 0.000 μB/atom
- E_form (uncorrected): -0.57 eV/f.u.

Cell lengths 11.942, 11.267, 5.972 Å; angles 90.00, 107.48, 90.00 degrees
Space group C2/c (No. 15)
Unique sites:
P 0.207 0.087 0.279 [8 per cell]
Pd 0.000 0.380 0.250 [4 per cell]
S 0.111 0.427 0.645 [8 per cell]
S 0.137 0.067 0.564 [8 per cell]
S 0.137 0.238 0.132 [8 per cell]

=====

# 3
Computed, not measured: a geometry-optimized PrSn12Rh4 structure at the PBE-GGA level of DFT.

Properties
- Magnetic moment: 0.000 μB/atom
- Calculated formation energy: -5.5 eV per formula unit

Cell lengths 9.446, 9.446, 9.446 Å; angles 90.00, 90.00, 90.00 degrees
Space group Im-3 (No. 204)
Unique sites:
Pr 0.000 0.000 0.000 [2 per cell]
Sn 0.000 0.339 0.162 [24 per cell]
Rh 0.250 0.250 0.250 [8 per cell]